(1)
A relaxed Pm4Ho7Tm crystal, computed with PBE.

## Properties
distance to the lowest polymorph of the same formula: 0.1901 eV per atom

Cell lengths 12.0704, 5.8925, 12.7538 Å; angles 90.00, 118.16, 90.00 degrees
Closest atoms and distances in Å follow each position.
Space group C2/m (No. 12)
Unique sites:
Pm1 0.0550 0.0000 0.3352 x4  5 Ho 3.28-3.67, 2 Pm 3.59
Pm2 0.1354 0.5000 0.7771 x4  7 Ho 3.36-3.71, 2 Pm 3.59
Ho1 0.0000 0.0000 0.0000 x2  2 Tm 2.95, 2 Ho 3.14
Ho2 0.1377 0.5000 0.5059 x4  4 Ho 3.26-3.63, 5 Pm 3.28-3.56
Ho3 0.2123 0.0000 0.9241 x4  1 Tm 3.13, 4 Ho 3.14-3.40, 4 Pm 3.36-3.38
Ho4 0.2388 0.5000 0.3086 x4  4 Ho 3.27-3.63, 1 Tm 3.62
Tm1 0.0000 0.5000 0.0000 x2  4 Ho 2.95-3.13

---

(2)
A relaxed Ac2SmAs3 crystal, computed with PBE.

Cell lengths 8.8819, 12.5685, 26.6542 Å; angles 90.00, 90.00, 90.00 degrees
Closest atoms and distances in Å follow each position.
Space group Fddd (No. 70, origin choice 2)
Unique sites:
Ac1 0.1250 0.1250 0.0422 x16  6 As 3.15-3.22
Ac2 0.1250 0.1250 0.3742 x16  6 As 3.14-3.21
Sm1 0.1250 0.1250 0.5414 x16  6 As 3.05-3.07
As1 0.1120 0.3750 0.8750 x16  2 Sm 3.06, 4 Ac 3.14-3.21
As2 0.1186 0.3690 0.7107 x32  2 Sm 3.05-3.07, 4 Ac 3.15-3.22

---

(3)
A relaxed Rb2CuBr7 crystal, computed with PBE.

## Properties
formation energy from raw total energies: -0.78 eV/atom

Cell lengths 7.9509, 7.9509, 11.3832 Å; angles 90.00, 90.00, 90.00 degrees
Closest atoms and distances in Å follow each position.
Space group I4/mmm (No. 139)
Unique sites:
Rb1 0.0000 0.5000 0.2500 x4  12 Br 3.99-4.03
Cu1 0.0000 0.0000 0.0000 x2  4 Br 2.36
Br1 0.0000 0.0000 0.2743 x4  1 Br 2.57
Br2 0.0000 0.0000 0.5000 x2  2 Br 2.57
Br3 0.2102 0.2102 0.0000 x8  1 Cu 2.36

---

(4)
A relaxed Li4NpTi3Se8 crystal, computed with PBE.

## Properties
formation energy from raw total energies: -1.19 eV/atom

Cell lengths 7.5745, 7.5745, 19.4400 Å; angles 90.00, 90.00, 120.00 degrees
Closest atoms and distances in Å follow each position.
Space group R-3m (No. 166, hexagonal axes)
Unique sites:
Li1 0.0000 0.0000 0.0000 x3  6 Se 2.65
Li2 0.0000 0.5000 0.0000 x9  6 Se 2.79
Np1 0.0000 0.0000 0.5000 x3  6 Se 2.80
Ti1 0.0000 0.5000 0.5000 x9  6 Se 2.66
Se1 0.0000 0.0000 0.2443 x6  3 Ti 2.66, 3 Li 2.79
Se2 0.0173 0.5087 0.7515 x18  3 Li 2.65-2.79, 2 Ti 2.66, 1 Np 2.80

---

(5)
A relaxed SmScInRh crystal, computed with PBE.

Cell lengths 7.0957, 7.0957, 7.0957 Å; angles 90.00, 90.00, 90.00 degrees
Closest atoms and distances in Å follow each position.
Space group F-43m (No. 216)
Unique sites:
Sm1 0.0000 0.0000 0.0000 x4  4 Rh 3.07, 4 In 3.07
Sc1 0.0000 0.0000 0.5000 x4  4 In 3.07, 4 Rh 3.07
In1 0.2500 0.2500 0.7500 x4  4 Sm 3.07, 4 Sc 3.07
Rh1 0.2500 0.2500 0.2500 x4  4 Sc 3.07, 4 Sm 3.07

---

(6)
A relaxed Na2NiP3Pt12 crystal, computed with PBE.

Cell lengths 8.1329, 8.1329, 17.6924 Å; angles 90.00, 90.00, 120.00 degrees
Closest atoms and distances in Å follow each position.
Space group R-3m (No. 166, hexagonal axes)
Unique sites:
Na1 0.0000 0.0000 0.1057 x6  6 Pt 2.88-2.95
Ni1 0.0000 0.0000 0.5000 x3  6 Pt 2.44
P1 0.0000 0.5000 0.0000 x9  6 Pt 2.26-2.32
Pt1 0.0010 0.5005 0.1275 x18  1 P 2.26, 1 Ni 2.44
Pt2 0.0334 0.5167 0.3667 x18  2 P 2.32

---

(7)
A relaxed HfZnGe crystal, computed with PBE.

Cell lengths 3.8539, 14.7745, 3.8027 Å; angles 90.00, 90.00, 90.00 degrees
Closest atoms and distances in Å follow each position.
Space group Cmcm (No. 63)
Unique sites:
Hf1 0.0000 0.0888 0.2500 x4  4 Ge 2.72, 2 Zn 3.03
Zn1 0.0000 0.2483 0.7500 x4  4 Zn 2.71, 2 Hf 3.03
Ge1 0.0000 0.4258 0.2500 x4  4 Hf 2.72, 2 Ge 2.90

---

(8)
A relaxed Cs2LiS crystal, computed with PBE.

## Properties
formation energy from raw total energies: -0.75 eV/atom
distance to the lowest polymorph of the same formula: 0.0189 eV per atom

Cell lengths 13.7906, 13.7906, 4.5899 Å; angles 90.00, 90.00, 90.00 degrees
Closest atoms and distances in Å follow each position.
Space group I-42d (No. 122)
Unique sites:
Cs1 0.0494 0.2500 0.1250 x8  2 S 3.56, 2 Li 3.91
Li1 0.0000 0.0000 0.5000 x4  2 S 2.29
S1 0.0000 0.0000 0.0000 x4  2 Li 2.29

---

no.,energy (eV/atom),M_tot (μB/cell)
1,-4.35,0.003
2,-5.95,0.000
3,-2.56,0.000
4,-5.70,20.954
5,-5.79,0.000
6,-5.50,0.001
7,-5.60,0.000
8,-2.68,0.000